No. 1
Material: Li3La2CeSe6
Method: DFT, PBE
State: relaxed

Calculated values
- crystal system = monoclinic
- SG = C2/m
- formation energy without anion corrections (kJ/mol of atoms) = -162
- theoretical density (kg/m3) = 4902
- DFT total energy (eV per atom) = -5.218
- total moment (μB per cell) = 1.00

extended XYZ file:
```
12
Lattice="3.707 -6.423 0.000 3.707 6.423 0.000 -2.467 0.000 6.492" Properties=species:S:1:pos:R:3 pbc="T T T"
Li 0.000 0.000 0.000
Li 3.707 2.095 0.000
Li 3.707 -2.095 0.000
La 2.473 4.278 3.246
La 2.473 -4.278 3.246
Ce 2.473 0.000 3.246
Se 1.253 2.113 1.555
Se 0.032 0.000 4.927
Se 1.253 -2.113 1.555
Se 3.694 2.113 4.937
Se 4.915 0.000 1.565
Se 3.694 -2.113 4.937
```


No. 2
Material: LiLaCeSi
Method: DFT, PBE
State: relaxed

Calculated values
- crystal system = cubic
- SG = F-43m
- formation energy without anion corrections (kJ/mol of atoms) = -23
- theoretical density (kg/m3) = 5321
- DFT total energy (eV per atom) = -4.793
- total moment (μB per cell) = 1.07

extended XYZ file:
```
4
Lattice="0.000 3.659 3.659 3.659 0.000 3.659 3.659 3.659 0.000" Properties=species:S:1:pos:R:3 pbc="T T T"
Li 0.000 0.000 0.000
La 1.830 1.830 1.830
Ce 5.489 5.489 5.489
Si 3.659 3.659 3.659
```


No. 3
Material: Li2LaCe2Si2
Method: DFT, PBE
State: relaxed

Calculated values
- crystal system = trigonal
- SG = R-3m
- formation energy without anion corrections (kJ/mol of atoms) = -38
- theoretical density (kg/m3) = 5331
- DFT total energy (eV per atom) = -4.891
- total moment (μB per cell) = 1.71

extended XYZ file:
```
7
Lattice="2.212 1.277 8.987 -2.212 1.277 8.987 0.000 -2.555 8.987" Properties=species:S:1:pos:R:3 pbc="T T T"
Li 0.000 0.000 2.387
Li 0.000 0.000 24.574
La 0.000 0.000 13.480
Ce 0.000 0.000 9.653
Ce 0.000 0.000 17.308
Si 0.000 0.000 6.499
Si 0.000 0.000 20.462
```


No. 4
Material: LiLaCeSm
Method: DFT, PBE
State: relaxed

Calculated values
- DFT formation energy (eV/atom) = 0.26
- crystal system = cubic
- SG = F-43m
- theoretical density (kg/m3) = 6117
- DFT total energy (eV per atom) = -4.111
- total moment (μB per cell) = 2.67

extended XYZ file:
```
4
Lattice="0.000 3.898 3.898 3.898 0.000 3.898 3.898 3.898 0.000" Properties=species:S:1:pos:R:3 pbc="T T T"
Li 0.000 0.000 0.000
La 5.847 5.847 5.847
Ce 3.898 3.898 3.898
Sm 1.949 1.949 1.949
```


No. 5
Material: Li2LaCe2Sn2
Method: DFT, PBE
State: relaxed

Calculated values
- DFT formation energy (eV/atom) = -0.45
- crystal system = trigonal
- SG = R-3m
- theoretical density (kg/m3) = 6249
- DFT total energy (eV per atom) = -4.538
- total moment (μB per cell) = 2.20

extended XYZ file:
```
7
Lattice="2.334 1.348 9.440 -2.334 1.348 9.440 0.000 -2.695 9.440" Properties=species:S:1:pos:R:3 pbc="T T T"
Li 0.000 0.000 2.375
Li 0.000 0.000 25.945
La 0.000 0.000 14.160
Ce 0.000 0.000 10.068
Ce 0.000 0.000 18.251
Sn 0.000 0.000 6.753
Sn 0.000 0.000 21.567
```


No. 6
Material: Li2La2CeSn2
Method: DFT, PBE
State: relaxed

Calculated values
- DFT formation energy (eV/atom) = -0.44
- crystal system = trigonal
- SG = R-3m
- theoretical density (kg/m3) = 5823
- DFT total energy (eV per atom) = -4.389
- total moment (μB per cell) = 1.14

extended XYZ file:
```
7
Lattice="2.453 1.417 9.152 -2.453 1.417 9.152 0.000 -2.833 9.152" Properties=species:S:1:pos:R:3 pbc="T T T"
Li 0.000 0.000 2.801
Li 0.000 0.000 24.654
La 0.000 0.000 10.161
La 0.000 0.000 17.294
Ce 0.000 0.000 13.728
Sn 0.000 0.000 6.405
Sn 0.000 0.000 21.050
```


No. 7
Material: LiLaCeTc
Method: DFT, PBE
State: relaxed

Calculated values
- DFT formation energy (eV/atom) = 0.09
- crystal system = cubic
- SG = F-43m
- theoretical density (kg/m3) = 6949
- DFT total energy (eV per atom) = -5.692
- total moment (μB per cell) = 0.43

extended XYZ file:
```
4
Lattice="0.000 3.580 3.580 3.580 0.000 3.580 3.580 3.580 0.000" Properties=species:S:1:pos:R:3 pbc="T T T"
Li 0.000 0.000 0.000
La 1.790 1.790 1.790
Ce 5.370 5.370 5.370
Tc 3.580 3.580 3.580
```


No. 8
Material: Li2LaCeTe4
Method: DFT, PBE
State: relaxed

Calculated values
- crystal system = monoclinic
- SG = P2/m
- formation energy without anion corrections (kJ/mol of atoms) = -125
- theoretical density (kg/m3) = 5328
- DFT total energy (eV per atom) = -4.702
- total moment (μB per cell) = 1.00

extended XYZ file:
```
8
Lattice="7.524 0.000 0.000 0.000 4.527 0.000 -2.715 0.000 7.351" Properties=species:S:1:pos:R:3 pbc="T T T"
Li 0.000 0.000 0.000
Li -1.357 2.263 3.676
La 2.405 0.000 3.676
Ce 3.762 2.263 0.000
Te 1.120 2.263 1.783
Te -0.245 0.000 5.507
Te 5.054 0.000 1.845
Te 3.689 2.263 5.568
```


No. 9
Material: LiLa3Ce4Te8
Method: DFT, PBE
State: relaxed

Calculated values
- crystal system = monoclinic
- SG = C2/m
- formation energy without anion corrections (kJ/mol of atoms) = -136
- theoretical density (kg/m3) = 6372
- DFT total energy (eV per atom) = -5.512
- total moment (μB per cell) = 2.50

extended XYZ file:
```
16
Lattice="7.818 -4.503 0.000 7.818 4.503 0.000 -5.224 0.000 7.421" Properties=species:S:1:pos:R:3 pbc="T T T"
Li 0.000 0.000 0.000
La 3.909 2.252 0.000
La 3.909 -2.252 0.000
La 7.818 0.000 0.000
Ce -2.612 0.000 3.710
Ce 1.297 2.252 3.710
Ce 1.297 -2.252 3.710
Ce 5.206 0.000 3.710
Te 3.858 2.321 5.585
Te 2.522 0.000 1.838
Te 6.553 2.321 1.836
Te -0.009 0.000 5.527
Te 10.420 0.000 1.894
Te 3.858 -2.321 5.585
Te 7.889 0.000 5.583
Te 6.553 -2.321 1.836
```


No. 10
Material: LiLa4Ce3Te8
Method: DFT, PBE
State: relaxed

Calculated values
- crystal system = trigonal
- SG = R-3m
- formation energy without anion corrections (kJ/mol of atoms) = -140
- theoretical density (kg/m3) = 6343
- DFT total energy (eV per atom) = -5.487
- total moment (μB per cell) = 3.96

extended XYZ file:
```
16
Lattice="4.524 2.612 7.398 -4.524 2.612 7.398 0.000 -5.224 7.398" Properties=species:S:1:pos:R:3 pbc="T T T"
Li 0.000 0.000 0.000
La -4.524 0.000 11.097
La -2.262 1.306 3.699
La 2.262 1.306 3.699
La 0.000 0.000 11.097
Ce -2.262 -1.306 7.398
Ce -2.262 1.306 14.796
Ce 0.000 2.612 7.398
Te 0.000 -2.674 9.166
Te -2.316 1.337 9.166
Te -2.316 -1.337 13.028
Te 0.000 0.000 5.587
Te 0.000 0.000 16.607
Te 2.316 1.337 9.166
Te 2.316 -1.337 13.028
Te 0.000 2.674 13.028
```


No. 11
Material: LiLaCe2Tl4
Method: DFT, PBE
State: relaxed

Calculated values
- DFT formation energy (eV/atom) = -0.27
- crystal system = trigonal
- SG = R-3m
- theoretical density (kg/m3) = 8944
- DFT total energy (eV per atom) = -3.790
- total moment (μB per cell) = 2.06

extended XYZ file:
```
8
Lattice="2.688 1.552 9.222 -2.688 1.552 9.222 0.000 -3.104 9.222" Properties=species:S:1:pos:R:3 pbc="T T T"
Li 0.000 0.000 0.000
La 0.000 0.000 13.833
Ce 0.000 0.000 7.095
Ce 0.000 0.000 20.570
Tl 0.000 0.000 3.337
Tl 0.000 0.000 10.303
Tl 0.000 0.000 17.363
Tl 0.000 0.000 24.329
```


No. 12
Material: LiLaCeTm
Method: DFT, PBE
State: relaxed

Calculated values
- DFT formation energy (eV/atom) = 0.27
- crystal system = cubic
- SG = F-43m
- theoretical density (kg/m3) = 6536
- DFT total energy (eV per atom) = -4.038
- total moment (μB per cell) = 2.94

extended XYZ file:
```
4
Lattice="0.000 3.866 3.866 3.866 0.000 3.866 3.866 3.866 0.000" Properties=species:S:1:pos:R:3 pbc="T T T"
Li 0.000 0.000 0.000
La 5.799 5.799 5.799
Ce 3.866 3.866 3.866
Tm 1.933 1.933 1.933
```